# 1
Sm2Dy5Ho | GGA-PBE | optimized geometry

Final energy ... -4.612 eV per atom
Symmetry ... No. 55

The structure in CIF format:
```
data_Sm2Dy5Ho
_space_group_name_H-M_alt 'P 1'
_space_group_IT_number 1
_space_group_name_Hall 'P 1'
_cell_length_a 7.125
_cell_length_b 14.249
_cell_length_c 5.028
_cell_angle_alpha 90.00
_cell_angle_beta 90.00
_cell_angle_gamma 90.00
loop_
_atom_site_label
_atom_site_type_symbol
_atom_site_fract_x
_atom_site_fract_y
_atom_site_fract_z
Sm1 Sm 0.249 0.125 0.000
Sm2 Sm 0.251 0.625 0.000
Sm3 Sm 0.749 0.375 0.000
Sm4 Sm 0.751 0.875 0.000
Dy1 Dy 0.000 0.500 0.500
Dy2 Dy 0.001 0.750 0.500
Dy3 Dy 0.249 0.375 0.000
Dy4 Dy 0.251 0.875 0.000
Dy5 Dy 0.499 0.250 0.500
Dy6 Dy 0.500 0.000 0.500
Dy7 Dy 0.501 0.750 0.500
Dy8 Dy 0.749 0.125 0.000
Dy9 Dy 0.751 0.625 0.000
Dy10 Dy 0.999 0.250 0.500
Ho1 Ho 0.000 0.000 0.500
Ho2 Ho 0.500 0.500 0.500
```



# 2
Sm2DyHo6 | GGA-PBE | optimized geometry

Energy relative to the lowest polymorph listed for this composition ... 0 meV/atom
Symmetry ... No. 15

The structure in CIF format:
```
data_Sm2DyHo6
_space_group_name_H-M_alt 'P 1'
_space_group_IT_number 1
_space_group_name_Hall 'P 1'
_cell_length_a 9.548
_cell_length_b 9.548
_cell_length_c 6.546
_cell_angle_alpha 99.31
_cell_angle_beta 99.31
_cell_angle_gamma 96.06
loop_
_atom_site_label
_atom_site_type_symbol
_atom_site_fract_x
_atom_site_fract_y
_atom_site_fract_z
Sm1 Sm 0.118 0.168 0.372
Sm2 Sm 0.168 0.118 0.872
Sm3 Sm 0.832 0.882 0.128
Sm4 Sm 0.882 0.832 0.628
Dy1 Dy 0.381 0.619 0.750
Dy2 Dy 0.619 0.381 0.250
Ho1 Ho 0.038 0.441 0.729
Ho2 Ho 0.151 0.777 0.996
Ho3 Ho 0.223 0.849 0.504
Ho4 Ho 0.278 0.457 0.184
Ho5 Ho 0.441 0.038 0.229
Ho6 Ho 0.457 0.278 0.684
Ho7 Ho 0.543 0.722 0.316
Ho8 Ho 0.559 0.962 0.771
Ho9 Ho 0.722 0.543 0.816
Ho10 Ho 0.777 0.151 0.496
Ho11 Ho 0.849 0.223 0.004
Ho12 Ho 0.962 0.559 0.271
```



# 3
SmDy7Ho4 | GGA-PBE | optimized geometry

Energy relative to the lowest polymorph listed for this composition ... 0 meV/atom
Symmetry ... No. 2

The structure in CIF format:
```
data_SmDy7Ho4
_space_group_name_H-M_alt 'P 1'
_space_group_IT_number 1
_space_group_name_Hall 'P 1'
_cell_length_a 6.186
_cell_length_b 7.143
_cell_length_c 8.797
_cell_angle_alpha 90.02
_cell_angle_beta 103.53
_cell_angle_gamma 90.01
loop_
_atom_site_label
_atom_site_type_symbol
_atom_site_fract_x
_atom_site_fract_y
_atom_site_fract_z
Sm1 Sm 0.000 0.000 0.000
Dy1 Dy 0.000 0.500 0.000
Dy2 Dy 0.222 0.000 0.666
Dy3 Dy 0.279 0.749 0.335
Dy4 Dy 0.500 0.251 0.000
Dy5 Dy 0.500 0.749 0.000
Dy6 Dy 0.721 0.251 0.665
Dy7 Dy 0.778 0.000 0.334
Ho1 Ho 0.221 0.500 0.666
Ho2 Ho 0.279 0.251 0.335
Ho3 Ho 0.721 0.749 0.665
Ho4 Ho 0.779 0.500 0.334
```



# 4
Sm12Dy5Ho2 | GGA-PBE | optimized geometry

Energy relative to the lowest polymorph listed for this composition ... 11 meV/atom
Symmetry ... No. 12

The structure in CIF format:
```
data_Sm12Dy5Ho2
_space_group_name_H-M_alt 'P 1'
_space_group_IT_number 1
_space_group_name_Hall 'P 1'
_cell_length_a 9.308
_cell_length_b 9.308
_cell_length_c 7.966
_cell_angle_alpha 91.92
_cell_angle_beta 91.92
_cell_angle_gamma 67.73
loop_
_atom_site_label
_atom_site_type_symbol
_atom_site_fract_x
_atom_site_fract_y
_atom_site_fract_z
Sm1 Sm 0.052 0.052 0.209
Sm2 Sm 0.078 0.541 0.705
Sm3 Sm 0.120 0.668 0.112
Sm4 Sm 0.332 0.880 0.888
Sm5 Sm 0.357 0.357 0.386
Sm6 Sm 0.459 0.922 0.295
Sm7 Sm 0.541 0.078 0.705
Sm8 Sm 0.643 0.643 0.614
Sm9 Sm 0.668 0.120 0.112
Sm10 Sm 0.880 0.332 0.888
Sm11 Sm 0.922 0.459 0.295
Sm12 Sm 0.948 0.948 0.791
Dy1 Dy 0.152 0.152 0.588
Dy2 Dy 0.256 0.256 0.013
Dy3 Dy 0.500 0.500 0.000
Dy4 Dy 0.744 0.744 0.987
Dy5 Dy 0.848 0.848 0.412
Ho1 Ho 0.244 0.756 0.500
Ho2 Ho 0.756 0.244 0.500
```



# 5
Sm3Dy5Ho2 | GGA-PBE | optimized geometry

Energy relative to the lowest polymorph listed for this composition ... 0 meV/atom
Symmetry ... No. 15

The structure in CIF format:
```
data_Sm3Dy5Ho2
_space_group_name_H-M_alt 'P 1'
_space_group_IT_number 1
_space_group_name_Hall 'P 1'
_cell_length_a 9.546
_cell_length_b 9.546
_cell_length_c 9.434
_cell_angle_alpha 108.37
_cell_angle_beta 108.37
_cell_angle_gamma 111.92
loop_
_atom_site_label
_atom_site_type_symbol
_atom_site_fract_x
_atom_site_fract_y
_atom_site_fract_z
Sm1 Sm 0.018 0.267 0.046
Sm2 Sm 0.233 0.767 0.750
Sm3 Sm 0.267 0.018 0.546
Sm4 Sm 0.733 0.982 0.454
Sm5 Sm 0.767 0.233 0.250
Sm6 Sm 0.982 0.733 0.954
Dy1 Dy 0.026 0.974 0.750
Dy2 Dy 0.150 0.378 0.776
Dy3 Dy 0.272 0.728 0.250
Dy4 Dy 0.378 0.150 0.276
Dy5 Dy 0.470 0.530 0.250
Dy6 Dy 0.530 0.470 0.750
Dy7 Dy 0.622 0.850 0.724
Dy8 Dy 0.728 0.272 0.750
Dy9 Dy 0.850 0.622 0.224
Dy10 Dy 0.974 0.026 0.250
Ho1 Ho 0.228 0.464 0.453
Ho2 Ho 0.464 0.228 0.953
Ho3 Ho 0.536 0.772 0.047
Ho4 Ho 0.772 0.536 0.547
```



# 6
SmDy3Ho12 | GGA-PBE | optimized geometry

Final energy ... -4.572 eV per atom
Symmetry ... No. 123

The structure in CIF format:
```
data_SmDy3Ho12
_space_group_name_H-M_alt 'P 1'
_space_group_IT_number 1
_space_group_name_Hall 'P 1'
_cell_length_a 4.997
_cell_length_b 4.997
_cell_length_c 19.976
_cell_angle_alpha 90.00
_cell_angle_beta 90.00
_cell_angle_gamma 90.00
loop_
_atom_site_label
_atom_site_type_symbol
_atom_site_fract_x
_atom_site_fract_y
_atom_site_fract_z
Sm1 Sm 0.000 0.000 0.000
Dy1 Dy 0.000 0.000 0.251
Dy2 Dy 0.000 0.000 0.500
Dy3 Dy 0.000 0.000 0.749
Ho1 Ho 0.000 0.500 0.126
Ho2 Ho 0.000 0.500 0.375
Ho3 Ho 0.000 0.500 0.625
Ho4 Ho 0.000 0.500 0.874
Ho5 Ho 0.500 0.000 0.126
Ho6 Ho 0.500 0.000 0.375
Ho7 Ho 0.500 0.000 0.625
Ho8 Ho 0.500 0.000 0.874
Ho9 Ho 0.500 0.500 0.000
Ho10 Ho 0.500 0.500 0.251
Ho11 Ho 0.500 0.500 0.500
Ho12 Ho 0.500 0.500 0.749
```



# 7
Sm2DyHo7 | GGA-PBE | optimized geometry

Energy relative to the lowest polymorph listed for this composition ... 142 meV/atom
Symmetry ... No. 65

The structure in CIF format:
```
data_Sm2DyHo7
_space_group_name_H-M_alt 'P 1'
_space_group_IT_number 1
_space_group_name_Hall 'P 1'
_cell_length_a 14.698
_cell_length_b 14.698
_cell_length_c 3.506
_cell_angle_alpha 90.00
_cell_angle_beta 90.00
_cell_angle_gamma 154.63
loop_
_atom_site_label
_atom_site_type_symbol
_atom_site_fract_x
_atom_site_fract_y
_atom_site_fract_z
Sm1 Sm 0.208 0.792 0.000
Sm2 Sm 0.792 0.208 0.000
Dy1 Dy 0.500 0.500 0.500
Ho1 Ho 0.000 0.000 0.000
Ho2 Ho 0.155 0.352 0.000
Ho3 Ho 0.315 0.685 0.500
Ho4 Ho 0.352 0.155 0.000
Ho5 Ho 0.648 0.845 0.000
Ho6 Ho 0.685 0.315 0.500
Ho7 Ho 0.845 0.648 0.000
```



# 8
Sm5Dy12Ho2 | GGA-PBE | optimized geometry

Energy relative to the lowest polymorph listed for this composition ... 0 meV/atom
Symmetry ... No. 2

The structure in CIF format:
```
data_Sm5Dy12Ho2
_space_group_name_H-M_alt 'P 1'
_space_group_IT_number 1
_space_group_name_Hall 'P 1'
_cell_length_a 6.167
_cell_length_b 9.430
_cell_length_c 10.686
_cell_angle_alpha 101.00
_cell_angle_beta 95.53
_cell_angle_gamma 90.08
loop_
_atom_site_label
_atom_site_type_symbol
_atom_site_fract_x
_atom_site_fract_y
_atom_site_fract_z
Sm1 Sm 0.000 0.000 0.000
Sm2 Sm 0.158 0.631 0.947
Sm3 Sm 0.263 0.053 0.579
Sm4 Sm 0.737 0.947 0.421
Sm5 Sm 0.842 0.369 0.053
Dy1 Dy 0.053 0.212 0.317
Dy2 Dy 0.105 0.421 0.631
Dy3 Dy 0.210 0.841 0.263
Dy4 Dy 0.317 0.263 0.895
Dy5 Dy 0.369 0.473 0.212
Dy6 Dy 0.474 0.894 0.841
Dy7 Dy 0.526 0.106 0.159
Dy8 Dy 0.631 0.527 0.788
Dy9 Dy 0.683 0.737 0.105
Dy10 Dy 0.790 0.159 0.737
Dy11 Dy 0.895 0.579 0.369
Dy12 Dy 0.947 0.788 0.683
Ho1 Ho 0.421 0.683 0.526
Ho2 Ho 0.579 0.317 0.474
```



# 9
Sm7Dy2Ho | GGA-PBE | optimized geometry

Energy relative to the lowest polymorph listed for this composition ... 644 meV/atom
Symmetry ... No. 65

The structure in CIF format:
```
data_Sm7Dy2Ho
_space_group_name_H-M_alt 'P 1'
_space_group_IT_number 1
_space_group_name_Hall 'P 1'
_cell_length_a 9.469
_cell_length_b 9.469
_cell_length_c 5.495
_cell_angle_alpha 90.00
_cell_angle_beta 90.00
_cell_angle_gamma 124.92
loop_
_atom_site_label
_atom_site_type_symbol
_atom_site_fract_x
_atom_site_fract_y
_atom_site_fract_z
Sm1 Sm 0.000 0.000 0.000
Sm2 Sm 0.210 0.433 0.000
Sm3 Sm 0.292 0.708 0.500
Sm4 Sm 0.433 0.210 0.000
Sm5 Sm 0.567 0.790 0.000
Sm6 Sm 0.708 0.292 0.500
Sm7 Sm 0.790 0.567 0.000
Dy1 Dy 0.205 0.795 0.000
Dy2 Dy 0.795 0.205 0.000
Ho1 Ho 0.500 0.500 0.500
```



no.,calculated volume (Å³/atom)
1,31.90
2,31.99
3,31.49
4,33.59
5,32.96
6,31.17
7,32.45
8,31.95
9,40.40